# MgMnSe2O8, optimized geometry, DFT PBE+U
# Density of states at the Fermi level   0.00 states/eV/atom
# E   -5.799 eV/atom
# V   149.1 Å³ per cell
# Space-group type   I-4m2, No. 119
data_MgMnSe2O8
_symmetry_space_group_name_H-M 'P 1'
_symmetry_Int_Tables_number 1
_cell_length_a 5.808
_cell_length_b 5.808
_cell_length_c 5.808
_cell_angle_alpha 106.12
_cell_angle_beta 106.12
_cell_angle_gamma 116.40
loop_
_symmetry_equiv_pos_as_xyz
'x,y,z'
loop_
_atom_site_label
_atom_site_fract_x
_atom_site_fract_y
_atom_site_fract_z
_atom_site_occupancy
Mg1 0.000 0.000 0.000 1
Mn1 0.750 0.250 0.500 1
Se1 0.250 0.750 0.500 1
Se2 0.500 0.500 0.000 1
O1 0.076 0.391 0.315 1
O2 0.076 0.761 0.685 1
O3 0.139 0.321 0.818 1
O4 0.239 0.924 0.315 1
O5 0.503 0.321 0.182 1
O6 0.609 0.924 0.685 1
O7 0.679 0.497 0.818 1
O8 0.679 0.861 0.182 1